No. 1
Computed, not measured: a geometry-optimized LiAl3Zn2 structure at the PBE-GGA level of DFT.

Calculated values
polymorph energy (0 for the lowest one): 204 meV/atom
energy of formation: 0.1760 eV/atom
SG: No. 71

```
LiAl3Zn2
1.0
2.6699 0.0000 0.0000
0.0000 5.0756 0.0000
-1.3349 -2.5378 7.9375
Zn Li Al
2 1 3
direct
0.3578 0.3578 0.7155 Zn
0.6422 0.6422 0.2845 Zn
0.0000 0.0000 0.0000 Li
0.1939 0.1939 0.3879 Al
0.8061 0.8061 0.6121 Al
0.0000 0.5000 0.0000 Al
```

No. 2
Computed, not measured: a geometry-optimized RbSb4Au structure at the PBE-GGA level of DFT.

Calculated values
polymorph energy (0 for the lowest one): 0 meV/atom
uncorrected formation energy: -0.1345 eV/atom
SG: No. 2

```
RbSb4Au
1.0
-5.4787 -0.6989 1.8621
-1.8232 -2.5804 -6.3285
4.8304 -8.9238 1.7231
Rb Au Sb
2 2 8
direct
0.2496 0.2501 0.0001 Rb
0.7504 0.7499 0.9999 Rb
0.0000 0.5000 0.5000 Au
0.5000 0.0000 0.5000 Au
0.5721 0.5697 0.6416 Sb
0.6210 0.1645 0.7401 Sb
0.1213 0.6645 0.7401 Sb
0.8787 0.3355 0.2599 Sb
0.4279 0.4303 0.3584 Sb
0.3790 0.8355 0.2599 Sb
0.9281 0.9303 0.3584 Sb
0.0719 0.0697 0.6416 Sb
```

No. 3
Computed, not measured: a geometry-optimized HfBeNbMo structure at the PBE-GGA level of DFT.

Calculated values
energy of formation: 0.0232 eV/atom
SG: No. 216

```
HfBeNbMo
1.0
4.5395 0.0000 0.0000
2.2698 3.9314 0.0000
2.2698 1.3105 3.7065
Nb Mo Be Hf
1 1 1 1
direct
0.7500 0.7500 0.7500 Nb
0.5000 0.5000 0.5000 Mo
0.0000 0.0000 0.0000 Be
0.2500 0.2500 0.2500 Hf
```

No. 4
Computed, not measured: a geometry-optimized MgInFeHg2 structure at the PBE-GGA level of DFT.

Calculated values
polymorph energy (0 for the lowest one): 490 meV/atom
energy of formation: 0.9658 eV/atom
SG: No. 123

```
MgInFeHg2
1.0
-0.6051 -5.2142 1.7290
3.3779 0.9938 4.1794
-4.3021 1.5315 3.1129
Hg Fe Mg In
2 1 1 1
direct
0.5000 0.0000 0.0000 Hg
0.0000 0.0000 0.5000 Hg
0.5000 0.5000 0.5000 Fe
0.0000 0.5000 0.0000 Mg
0.0000 0.0000 0.0000 In
```

No. 5
Computed, not measured: a geometry-optimized La2Pr5AlAg2 structure at the PBE-GGA level of DFT.

Calculated values
energy of formation: -0.1592 eV/atom
SG: No. 127

```
La2Pr5AlAg2
1.0
3.9047 0.0000 0.0000
0.0000 12.7873 0.0000
0.0000 0.0000 12.7873
La Pr Ag Al
4 10 4 2
direct
0.0000 0.8179 0.6821 La
0.0000 0.3179 0.8179 La
0.0000 0.6821 0.1821 La
0.0000 0.1821 0.3179 La
0.5000 0.5000 0.0000 Pr
0.5000 0.4510 0.3064 Pr
0.5000 0.9510 0.1936 Pr
0.5000 0.1936 0.0490 Pr
0.5000 0.6936 0.4510 Pr
0.5000 0.3064 0.5490 Pr
0.5000 0.5490 0.6936 Pr
0.5000 0.0000 0.5000 Pr
0.5000 0.0490 0.8064 Pr
0.5000 0.8064 0.9510 Pr
0.0000 0.6315 0.8685 Ag
0.0000 0.8685 0.3685 Ag
0.0000 0.1315 0.6315 Ag
0.0000 0.3685 0.1315 Ag
0.0000 0.5000 0.5000 Al
0.0000 0.0000 0.0000 Al
```

No. 6
Computed, not measured: a geometry-optimized NbTcP structure at the PBE-GGA level of DFT.

Calculated values
polymorph energy (0 for the lowest one): 107 meV/atom
energy of formation: -0.5114 eV/atom
SG: No. 8

```
NbTcP
1.0
-4.3309 -0.5739 -0.0693
0.0948 -1.0578 2.8340
0.9007 13.0908 4.8563
Nb P Tc
4 4 4
direct
0.3612 0.5000 0.6863 Nb
0.7551 0.0000 0.5351 Nb
0.3612 0.0000 0.1863 Nb
0.7551 0.5000 0.0351 Nb
0.2139 0.5000 0.4985 P
0.8807 0.0000 0.7141 P
0.2139 0.0000 0.9985 P
0.8807 0.5000 0.2141 P
0.4768 0.5000 0.3692 Tc
0.9474 0.0000 0.3408 Tc
0.9474 0.5000 0.8408 Tc
0.4768 0.0000 0.8692 Tc
```

No. 7
Computed, not measured: a geometry-optimized PuZnAu2 structure at the PBE-GGA level of DFT.

Calculated values
energy of formation: -0.3276 eV/atom
SG: No. 123

```
PuZnAu2
1.0
3.2880 0.0000 0.0000
0.0000 3.2880 0.0000
0.0000 0.0000 7.3289
Zn Pu Au
1 1 2
direct
0.5000 0.5000 0.5000 Zn
0.5000 0.5000 0.0000 Pu
0.0000 0.0000 0.2911 Au
0.0000 0.0000 0.7089 Au
```

No. 8
Computed, not measured: a geometry-optimized Cs2RbS structure at the PBE-GGA level of DFT.

Calculated values
polymorph energy (0 for the lowest one): 0 meV/atom
uncorrected formation energy: -0.6718 eV/atom
SG: No. 160

```
Cs2RbS
1.0
-4.1120 3.8113 0.5124
-3.1216 0.1609 4.6826
3.8585 7.5553 5.6971
Rb Cs S
1 2 1
direct
0.5299 0.5299 0.4104 Rb
0.2843 0.2843 0.1470 Cs
0.0383 0.0383 0.8851 Cs
0.6475 0.6475 0.0575 S
```

No. 9
Computed, not measured: a geometry-optimized TiGaS3 structure at the PBE-GGA level of DFT.

Calculated values
polymorph energy (0 for the lowest one): 0 meV/atom
uncorrected formation energy: -0.8644 eV/atom
SG: No. 38

```
TiGaS3
1.0
-2.3998 -0.7968 -2.4523
4.8303 -1.2268 -4.3283
-2.0770 -5.0708 3.6802
Ti S Ga
1 3 1
direct
0.0000 0.4188 0.5812 Ti
0.0000 0.2086 0.7914 S
0.5000 0.2305 0.3096 S
0.5000 0.6904 0.7695 S
0.5000 0.0797 0.9203 Ga
```

No. 10
Computed, not measured: a geometry-optimized Cu3Pd3Pt structure at the PBE-GGA level of DFT.

Calculated values
polymorph energy (0 for the lowest one): 174 meV/atom
energy of formation: 0.0819 eV/atom
SG: No. 65

```
Cu3Pd3Pt
1.0
-2.3086 3.0966 3.6900
-4.2939 -2.9978 -1.0538
2.0483 -4.8005 5.3099
Pd Cu Pt
6 6 2
direct
0.0000 0.0000 0.7403 Pd
0.0000 0.5000 0.7434 Pd
0.0000 0.5000 0.2566 Pd
0.5000 0.0000 0.2566 Pd
0.5000 0.0000 0.7434 Pd
0.0000 0.0000 0.2597 Pd
0.2834 0.2834 0.5000 Cu
0.2453 0.7547 0.5000 Cu
0.2252 0.7748 0.0000 Cu
0.7547 0.2453 0.5000 Cu
0.7748 0.2252 0.0000 Cu
0.7166 0.7166 0.5000 Cu
0.2986 0.2986 0.0000 Pt
0.7014 0.7014 0.0000 Pt
```

No. 11
Computed, not measured: a geometry-optimized Na2SnSbSe5 structure at the PBE-GGA level of DFT.

Calculated values
uncorrected formation energy: -0.5523 eV/atom
SG: No. 36

```
Na2SnSbSe5
1.0
3.9282 0.0000 0.0000
-1.9641 9.6458 0.0000
0.0000 0.0000 13.4910
Se Sn Na Sb
10 2 4 2
direct
0.6356 0.2712 0.4910 Se
0.4961 0.9922 0.2664 Se
0.0503 0.1006 0.0486 Se
0.3644 0.7288 0.9910 Se
0.7421 0.4841 0.1882 Se
0.2972 0.5943 0.3884 Se
0.5039 0.0078 0.7664 Se
0.7028 0.4057 0.8884 Se
0.9497 0.8994 0.5486 Se
0.2579 0.5159 0.6882 Se
0.5710 0.1419 0.9244 Sn
0.4290 0.8581 0.4244 Sn
0.8860 0.7720 0.8216 Na
0.1140 0.2280 0.3216 Na
0.0966 0.1932 0.6501 Na
0.9034 0.8068 0.1501 Na
0.7623 0.5246 0.5453 Sb
0.2377 0.4754 0.0453 Sb
```

No. 12
Computed, not measured: a geometry-optimized Tl2ZnTcOs structure at the PBE-GGA level of DFT.

Calculated values
energy of formation: 1.8792 eV/atom
SG: No. 123

```
Tl2ZnTcOs
1.0
4.9054 0.0000 0.0000
0.0000 4.8121 0.0000
0.0000 0.0000 4.9054
Os Tl Zn Tc
1 2 1 1
direct
0.5000 0.5000 0.5000 Os
0.5000 0.0000 0.0000 Tl
0.0000 0.0000 0.5000 Tl
0.0000 0.0000 0.0000 Zn
0.0000 0.5000 0.0000 Tc
```